1.
Here is Hf2Cd2Pb after structural relaxation from OQMD. Energies are from PBE.

uncorrected energy	-0.345	Ry/atom
space-group type	No. 139
distance to the lowest polymorph of the same formula	9.3	meV per atom

Lattice parameters (Å, degrees): 7.7301 7.7301 7.7301 149.45 149.45 43.74
Element x y z (fractional)
Hf (0.0941, 0.0941, 0.0000)
Hf (0.9059, 0.9059, 0.0000)
Cd (0.2500, 0.7500, 0.5000)
Cd (0.7500, 0.2500, 0.5000)
Pb (0.5000, 0.5000, 0.0000)

---

2.
Here is AcUAu after structural relaxation from OQMD. Energies are from PBE.

uncorrected energy	-0.412	Ry/atom
space-group type	No. 216
distance to the lowest polymorph of the same formula	0.0	meV per atom
E_form	0.621	eV/atom

Lattice parameters (Å, degrees): 5.0411 5.0411 5.0411 60.00 60.00 60.00
Element x y z (fractional)
Ac (0.0000, 0.0000, 0.0000)
U (0.2500, 0.2500, 0.2500)
Au (0.5000, 0.5000, 0.5000)

---

3.
Here is ErCdInS3 after structural relaxation from OQMD. Energies are from PBE.

uncorrected energy	-0.330	Ry/atom
space-group type	No. 63

Lattice parameters (Å, degrees): 7.3000 7.3000 10.6666 90.00 90.00 147.92
Element x y z (fractional)
Er (0.0000, 0.0000, 0.0000)
Er (0.0000, 0.0000, 0.5000)
Cd (0.4356, 0.5644, 0.7500)
Cd (0.5644, 0.4356, 0.2500)
In (0.2786, 0.7214, 0.2500)
In (0.7214, 0.2786, 0.7500)
S (0.0580, 0.9420, 0.7500)
S (0.3701, 0.6299, 0.5351)
S (0.3701, 0.6299, 0.9649)
S (0.6299, 0.3701, 0.0351)
S (0.6299, 0.3701, 0.4649)
S (0.9420, 0.0580, 0.2500)

---

4.
Here is SrLuNO after structural relaxation from OQMD. Energies are from PBE.

uncorrected energy	-0.510	Ry/atom
space-group type	No. 123
distance to the lowest polymorph of the same formula	110.4	meV per atom

Lattice parameters (Å, degrees): 3.4530 3.4530 5.0700 90.00 90.00 90.00
Element x y z (fractional)
Sr (0.0000, 0.0000, 0.0000)
Lu (0.5000, 0.5000, 0.5000)
N (0.0000, 0.0000, 0.5000)
O (0.5000, 0.5000, 0.0000)

---

Here are the calculated total magnetic moment numbers, same order: 0.0946 0.9573 0.0009 0.0000 (μB per atom).